VASP calculation (GGA+U) on a relaxed ZrMnGeO5 crystal.

Output
Space group   C2/c, No. 15
Raw total energy   -126.7 eV per cell

a = 5.6228 Å, b = 5.6228 Å, c = 7.5972 Å
α = 103.83°, β = 103.83°, γ = 105.76°
Each line ends with the local moment (μB).
Fractional coordinates of all 16 atoms:
Zr (0.0000, 0.0000, 0.5000)  0.01
Zr (0.0000, 0.0000, 0.0000)  0.01
Mn (0.3308, 0.6692, 0.2500)  4.66
Mn (0.6692, 0.3308, 0.7500)  4.66
Ge (0.6756, 0.3244, 0.2500)  0.01
Ge (0.3244, 0.6756, 0.7500)  0.01
O (0.0979, 0.9021, 0.2500)  0.01
O (0.9021, 0.0979, 0.7500)  0.01
O (0.9215, 0.3354, 0.1405)  0.02
O (0.0785, 0.6646, 0.8595)  0.02
O (0.6646, 0.0785, 0.3595)  0.02
O (0.3354, 0.9215, 0.6405)  0.02
O (0.7180, 0.6217, 0.4196)  0.01
O (0.2820, 0.3783, 0.5804)  0.01
O (0.3783, 0.2820, 0.0804)  0.01
O (0.6217, 0.7180, 0.9196)  0.01